Material: AlCoMo2
Method: DFT, GGA-PBE
State: optimized geometry

Results
DFT total energy ... -96.0 eV/cell

```
AlCoMo2
1.0
2.7589 0.0000 0.0000
-1.3795 2.3893 0.0000
0.0000 0.0000 26.4034
Al Co Mo
3 3 6
Cartesian
0.0000 0.0000 0.0000 Al
0.0000 1.5929 17.6023 Al
1.3795 0.7964 8.8011 Al
0.0000 0.0000 13.2017 Co
0.0000 1.5929 4.4006 Co
1.3795 0.7964 22.0028 Co
0.0000 0.0000 6.4935 Mo
0.0000 0.0000 19.9099 Mo
0.0000 1.5929 11.1088 Mo
0.0000 1.5929 24.0958 Mo
1.3795 0.7964 2.3076 Mo
1.3795 0.7964 15.2946 Mo
```

=====

Material: AlCoMo2
Method: DFT, GGA-PBE
State: optimized geometry

Results
DFT total energy ... -32.7 eV/cell

```
AlCoMo2
1.0
3.1172 0.0000 0.0000
0.0000 3.1172 0.0000
0.0000 0.0000 5.8798
Al Co Mo
1 1 2
Cartesian
0.0000 0.0000 0.0000 Al
1.5586 1.5586 1.3255 Co
0.0000 0.0000 2.8342 Mo
1.5586 1.5586 4.2750 Mo
```

=====

Material: Al2Co2Mo
Method: DFT, GGA-PBE
State: optimized geometry

Results
DFT total energy ... -66.9 eV/cell

```
Al2Co2Mo
1.0
6.9075 0.0000 0.0000
0.0000 6.9075 0.0000
0.0000 0.0000 2.7081
Al Co Mo
4 4 2
Cartesian
1.1323 2.3215 0.0000 Al
2.3215 5.7752 0.0000 Al
4.5860 1.1323 0.0000 Al
5.7752 4.5860 0.0000 Al
0.9075 4.3613 1.3540 Co
2.5463 0.9075 1.3540 Co
4.3613 6.0000 1.3540 Co
6.0000 2.5463 1.3540 Co
0.0000 0.0000 1.3540 Mo
3.4538 3.4538 1.3540 Mo
```

=====

Material: AlCo4Mo2
Method: DFT, GGA-PBE
State: optimized geometry

Results
DFT total energy ... -92.8 eV/cell

```
AlCo4Mo2
1.0
4.0767 0.0000 0.0000
0.0000 4.0767 0.0000
0.0000 0.0000 12.2999
Al Co Mo
2 8 4
Cartesian
0.0000 0.0000 0.0000 Al
2.0383 2.0383 6.1500 Al
0.0000 0.0000 2.2801 Co
0.0000 0.0000 10.0198 Co
0.0000 2.0383 0.0000 Co
0.0000 2.0383 6.1500 Co
2.0383 0.0000 0.0000 Co
2.0383 0.0000 6.1500 Co
2.0383 2.0383 3.8699 Co
2.0383 2.0383 8.4300 Co
0.0000 0.0000 4.4574 Mo
0.0000 0.0000 7.8426 Mo
2.0383 2.0383 1.6926 Mo
2.0383 2.0383 10.6073 Mo
```

=====

Material: Al2CoMo
Method: DFT, GGA-PBE
State: optimized geometry

Results
DFT total energy ... -98.5 eV/cell

```
Al2CoMo
1.0
6.7267 0.0000 0.0000
0.0000 6.7267 0.0000
0.0000 0.0000 5.2145
Al Co Mo
8 4 4
Cartesian
1.4304 1.6817 0.6518 Al
1.6817 4.7938 1.9554 Al
1.6817 5.2963 4.5627 Al
1.9329 1.6817 3.2591 Al
4.7938 5.0450 3.2591 Al
5.0450 1.4304 4.5627 Al
5.0450 1.9329 1.9554 Al
5.2963 5.0450 0.6518 Al
0.0000 0.0000 0.0000 Co
0.0000 3.3634 1.3036 Co
3.3634 0.0000 3.9109 Co
3.3634 3.3634 2.6072 Co
0.0000 0.0000 2.6072 Mo
0.0000 3.3634 3.9109 Mo
3.3634 0.0000 1.3036 Mo
3.3634 3.3634 0.0000 Mo
```

=====

Material: AlCo2Mo
Method: DFT, GGA-PBE
State: optimized geometry

Results
DFT total energy ... -29.2 eV/cell

```
AlCo2Mo
1.0
2.7190 0.0000 0.0000
0.0000 2.7190 0.0000
0.0000 0.0000 6.9460
Al Co Mo
1 2 1
Cartesian
0.0000 0.0000 0.0000 Al
0.0000 0.0000 3.1019 Co
1.3595 1.3595 1.5907 Co
1.3595 1.3595 4.9092 Mo
```

=====

Asked for ρ across the records above, the calculation gives 8.0 8.1 6.9 7.4 5.9 7.8 g/cm3 in order.
Asked for magnetic moment across the records above, the calculation gives 0.83 0.13 0.00 0.07 0.01 2.53 μB/f.u. in order.
Asked for DFT formation energy across the records above, the calculation gives 0.13 -0.06 -0.19 1.06 0.20 -0.11 eV per atom in order.